<P>
Entry from Alexandria via LeMat-Bulk: an optimized crystal structure of NaAcPb (PBE-GGA).

The density of states at the Fermi level is 0.2244 states/eV per atom. For the magnetization, the calculation gives 0.000 μB/f.u. As for the calculated volume: 39.60 A^3/atom.

```
NaAcPb
1.0
5.5181 0.0000 0.0000
2.7590 4.7788 0.0000
2.7590 1.5929 4.5055
Pb Na Ac
1 1 1
direct
0.2500 0.2500 0.2500
0.5000 0.5000 0.5000
0.0000 0.0000 0.0000
```


<Q>
Entry from Alexandria via LeMat-Bulk: an optimized crystal structure of NaAcPb (PBE-GGA).

The density of states at the Fermi level is 0.7382 states/eV per atom. For the magnetization, the calculation gives 0.000 μB/f.u. As for the calculated volume: 34.93 A^3/atom.

```
NaAcPb
1.0
4.5703 0.0000 0.0000
0.0000 4.5703 0.0000
-2.2851 -2.2851 5.0175
Pb Na Ac
1 1 1
direct
0.2898 0.2898 0.5796
0.6171 0.6171 0.2342
0.9431 0.9431 0.8861
```


Ranked by calculated energy, most stable first: <P>, <Q>.


<P>
Entry from Alexandria via LeMat-Bulk: an optimized crystal structure of NaAcPb (PBE-GGA).

The density of states at the Fermi level is 0.4135 states/eV per atom. For the magnetization, the calculation gives 0.000 μB/f.u. As for the calculated volume: 33.42 A^3/atom.

```
NaAcPb
1.0
-0.6415 3.6065 1.2303
-5.0005 -0.1314 -2.2222
0.7403 -1.6326 5.1718
Pb Na Ac
1 1 1
direct
0.8321 0.6667 0.3333
0.8342 0.0000 0.0000
0.3338 0.3333 0.6667
```


<Q>
Entry from Alexandria via LeMat-Bulk: an optimized crystal structure of NaAcPb (PBE-GGA).

The density of states at the Fermi level is 0.3589 states/eV per atom. For the magnetization, the calculation gives 0.009 μB/f.u. As for the calculated volume: 35.03 A^3/atom.

```
NaAcPb
1.0
-1.4132 4.6050 -0.8055
-4.3126 -1.6090 -1.6324
-3.2556 0.4310 8.1761
Pb Na Ac
2 2 2
direct
0.0000 0.5000 0.7374
0.5000 0.0000 0.2626
0.5000 0.5000 0.0000
0.0000 0.0000 0.0000
0.5000 0.0000 0.6512
0.0000 0.5000 0.3488
```


Ranked by calculated energy, most stable first: <Q>, <P>.


<P>
Entry from Alexandria via LeMat-Bulk: an optimized crystal structure of NaAc2Pb (PBE-GGA).

The density of states at the Fermi level is 0.7297 states/eV per atom. For the magnetization, the calculation gives 0.009 μB/f.u. As for the calculated volume: 36.08 A^3/atom.

```
NaAc2Pb
1.0
5.8877 0.0000 0.0000
2.9438 5.0989 0.0000
2.9438 1.6996 4.8073
Na Ac Pb
1 2 1
direct
0.5000 0.5000 0.5000
0.2500 0.2500 0.2500
0.7500 0.7500 0.7500
0.0000 0.0000 0.0000
```


<Q>
Entry from Alexandria via LeMat-Bulk: an optimized crystal structure of NaAc2Pb (PBE-GGA).

The density of states at the Fermi level is 1.1618 states/eV per atom. For the magnetization, the calculation gives 0.001 μB/f.u. As for the calculated volume: 41.62 A^3/atom.

```
NaAc2Pb
1.0
3.8138 0.0000 0.0000
1.9069 3.3028 0.0000
1.9069 1.1009 13.2154
Pb Na Ac
1 1 2
direct
0.5000 0.5000 0.5000
0.0000 0.0000 0.0000
0.0950 0.0950 0.7150
0.9050 0.9050 0.2850
```


Ranked by calculated energy, most stable first: <P>, <Q>.


<P>
Entry from Alexandria via LeMat-Bulk: an optimized crystal structure of Na4AcPb2 (PBE-GGA).

The density of states at the Fermi level is 0.4968 states/eV per atom. For the magnetization, the calculation gives 0.000 μB/f.u. As for the calculated volume: 32.14 A^3/atom.

```
Na4AcPb2
1.0
-0.4856 -5.1298 -0.0338
7.9705 -0.7862 4.8151
-4.7987 0.4015 8.0089
Na Ac Pb
8 2 4
direct
0.0000 0.1074 0.3470
0.0000 0.8926 0.6530
0.5000 0.1530 0.6074
0.5000 0.8470 0.3926
0.5000 0.3926 0.8470
0.5000 0.6074 0.1530
0.0000 0.3470 0.1074
0.0000 0.6530 0.8926
0.5000 0.0000 0.0000
0.0000 0.5000 0.5000
0.0000 0.1911 0.8089
0.0000 0.8089 0.1911
0.5000 0.6911 0.6911
0.5000 0.3089 0.3089
```


<Q>
Entry from Alexandria via LeMat-Bulk: an optimized crystal structure of Na4AcPb2 (PBE-GGA).

The density of states at the Fermi level is 0.4190 states/eV per atom. For the magnetization, the calculation gives 0.000 μB/f.u. As for the calculated volume: 33.65 A^3/atom.

```
Na4AcPb2
1.0
-0.1687 -4.1873 -2.7654
0.5042 -2.4631 3.6987
-10.6700 0.8718 -0.6689
Na Ac Pb
4 1 2
direct
0.5000 0.8175 0.6350
0.0000 0.6719 0.3438
0.5000 0.1825 0.3650
0.0000 0.3281 0.6562
0.0000 0.0000 0.0000
0.5000 0.5723 0.1447
0.5000 0.4277 0.8553
```


Ranked by calculated energy, most stable first: <P>, <Q>.